(1)
# LiSn2Te2 PBE-GGA optimized geometry
# **Uncorrected formation energy**: -0.173 eV per atom
# **E above lowest polymorph**: 0.0878 eV/atom
# **Volume**: 29.53 A^3/atom
# **M_tot**: 0.0 μB/f.u.
data_LiSn2Te2
_chemical_formula_sum 'Li2 Sn4 Te4'
_symmetry_space_group_name_H-M 'P 1'
_symmetry_Int_Tables_number 1
_cell_length_a 8.291
_cell_length_b 8.291
_cell_length_c 4.297
_cell_angle_alpha 90.00
_cell_angle_beta 90.00
_cell_angle_gamma 90.00
loop_
_symmetry_equiv_pos_as_xyz
'x,y,z'
loop_
_atom_site_label
_atom_site_type_symbol
_atom_site_fract_x
_atom_site_fract_y
_atom_site_fract_z
Li1 Li 0.000 0.000 0.000
Li2 Li 0.500 0.500 0.000
Sn1 Sn 0.136 0.364 0.000
Sn2 Sn 0.364 0.864 0.000
Sn3 Sn 0.636 0.136 0.000
Sn4 Sn 0.864 0.636 0.000
Te1 Te 0.177 0.677 0.500
Te2 Te 0.323 0.177 0.500
Te3 Te 0.677 0.823 0.500
Te4 Te 0.823 0.323 0.500

=====

(2)
# La3BiN PBE-GGA optimized geometry
# **Uncorrected formation energy**: -0.937 eV per atom
# **Volume**: 30.01 A^3/atom
# **M_tot**: 0.0 μB/f.u.
data_La3BiN
_chemical_formula_sum 'La6 Bi2 N2'
_symmetry_space_group_name_H-M 'P 1'
_symmetry_Int_Tables_number 1
_cell_length_a 6.908
_cell_length_b 7.194
_cell_length_c 7.251
_cell_angle_alpha 84.06
_cell_angle_beta 65.87
_cell_angle_gamma 66.23
loop_
_symmetry_equiv_pos_as_xyz
'x,y,z'
loop_
_atom_site_label
_atom_site_type_symbol
_atom_site_fract_x
_atom_site_fract_y
_atom_site_fract_z
La1 La 0.236 0.257 0.378
La2 La 0.255 0.790 0.201
La3 La 0.262 0.626 0.740
La4 La 0.738 0.374 0.260
La5 La 0.745 0.210 0.799
La6 La 0.764 0.743 0.622
Bi1 Bi 0.250 0.145 0.853
Bi2 Bi 0.750 0.855 0.147
N1 N 0.251 0.552 0.448
N2 N 0.749 0.448 0.552

=====

(3)
# Sr2FeRh PBE-GGA optimized geometry
# **ΔH_f (0 K)**: 0.43 eV/atom
# **E above lowest polymorph**: 0.3566 eV/atom
# **Volume**: 25.39 A^3/atom
# **M_tot**: 3.1 μB/f.u.
data_Sr2FeRh
_chemical_formula_sum 'Sr2 Fe1 Rh1'
_symmetry_space_group_name_H-M 'P 1'
_symmetry_Int_Tables_number 1
_cell_length_a 5.237
_cell_length_b 5.237
_cell_length_c 5.237
_cell_angle_alpha 60.00
_cell_angle_beta 60.00
_cell_angle_gamma 60.00
loop_
_symmetry_equiv_pos_as_xyz
'x,y,z'
loop_
_atom_site_label
_atom_site_type_symbol
_atom_site_fract_x
_atom_site_fract_y
_atom_site_fract_z
Sr1 Sr 0.250 0.250 0.250
Sr2 Sr 0.750 0.750 0.750
Fe1 Fe 0.000 0.000 0.000
Rh1 Rh 0.500 0.500 0.500

=====

(4)
# Sm2ZnCd PBE-GGA optimized geometry
# **ΔH_f (0 K)**: -0.32 eV/atom
# **E above lowest polymorph**: 0.0000 eV/atom
# **Volume**: 25.84 A^3/atom
# **M_tot**: 0.0 μB/f.u.
data_Sm2ZnCd
_chemical_formula_sum 'Sm2 Zn1 Cd1'
_symmetry_space_group_name_H-M 'P 1'
_symmetry_Int_Tables_number 1
_cell_length_a 3.690
_cell_length_b 3.690
_cell_length_c 7.591
_cell_angle_alpha 90.00
_cell_angle_beta 90.00
_cell_angle_gamma 90.00
loop_
_symmetry_equiv_pos_as_xyz
'x,y,z'
loop_
_atom_site_label
_atom_site_type_symbol
_atom_site_fract_x
_atom_site_fract_y
_atom_site_fract_z
Sm1 Sm 0.000 0.000 0.230
Sm2 Sm 0.000 0.000 0.770
Zn1 Zn 0.500 0.500 0.000
Cd1 Cd 0.500 0.500 0.500

=====

(5)
# Mn2TcMoH PBE-GGA optimized geometry
# **E above lowest polymorph**: 0.0213 eV/atom
# **Volume**: 10.84 A^3/atom
# **M_tot**: 0.0 μB/f.u.
data_Mn2TcMoH
_chemical_formula_sum 'Mn2 Tc1 Mo1 H1'
_symmetry_space_group_name_H-M 'P 1'
_symmetry_Int_Tables_number 1
_cell_length_a 3.767
_cell_length_b 3.767
_cell_length_c 3.820
_cell_angle_alpha 90.00
_cell_angle_beta 90.00
_cell_angle_gamma 90.00
loop_
_symmetry_equiv_pos_as_xyz
'x,y,z'
loop_
_atom_site_label
_atom_site_type_symbol
_atom_site_fract_x
_atom_site_fract_y
_atom_site_fract_z
Mn1 Mn 0.000 0.500 0.000
Mn2 Mn 0.500 0.000 0.000
Tc1 Tc 0.000 0.000 0.500
Mo1 Mo 0.500 0.500 0.500
H1 H 0.000 0.000 0.000

=====

(6)
# La2DyTmTe6 PBE-GGA optimized geometry
# **Uncorrected formation energy**: -1.430 eV per atom
# **Volume**: 38.16 A^3/atom
# **M_tot**: 0.0 μB/f.u.
data_La2DyTmTe6
_chemical_formula_sum 'La2 Dy1 Tm1 Te6'
_symmetry_space_group_name_H-M 'P 1'
_symmetry_Int_Tables_number 1
_cell_length_a 8.370
_cell_length_b 8.370
_cell_length_c 8.370
_cell_angle_alpha 56.55
_cell_angle_beta 56.55
_cell_angle_gamma 56.55
loop_
_symmetry_equiv_pos_as_xyz
'x,y,z'
loop_
_atom_site_label
_atom_site_type_symbol
_atom_site_fract_x
_atom_site_fract_y
_atom_site_fract_z
La1 La 0.000 0.000 0.000
La2 La 0.500 0.500 0.500
Dy1 Dy 0.804 0.804 0.804
Tm1 Tm 0.305 0.305 0.305
Te1 Te 0.077 0.424 0.683
Te2 Te 0.187 0.926 0.575
Te3 Te 0.424 0.683 0.077
Te4 Te 0.575 0.187 0.926
Te5 Te 0.683 0.077 0.424
Te6 Te 0.926 0.575 0.187

=====

(7)
# CsTlIrCl6 PBE-GGA optimized geometry
# **Uncorrected formation energy**: -0.946 eV per atom
# **Volume**: 36.77 A^3/atom
# **M_tot**: 0.0 μB/f.u.
data_CsTlIrCl6
_chemical_formula_sum 'Cs1 Tl1 Ir1 Cl6'
_symmetry_space_group_name_H-M 'P 1'
_symmetry_Int_Tables_number 1
_cell_length_a 7.294
_cell_length_b 7.294
_cell_length_c 7.182
_cell_angle_alpha 90.00
_cell_angle_beta 90.00
_cell_angle_gamma 120.00
loop_
_symmetry_equiv_pos_as_xyz
'x,y,z'
loop_
_atom_site_label
_atom_site_type_symbol
_atom_site_fract_x
_atom_site_fract_y
_atom_site_fract_z
Cs1 Cs 0.000 0.000 0.000
Tl1 Tl 0.333 0.667 0.500
Ir1 Ir 0.667 0.333 0.500
Cl1 Cl 0.404 0.070 0.689
Cl2 Cl 0.404 0.334 0.311
Cl3 Cl 0.666 0.070 0.311
Cl4 Cl 0.666 0.596 0.689
Cl5 Cl 0.930 0.334 0.689
Cl6 Cl 0.930 0.596 0.311

=====

(8)
# Ce2Cd2Pt15 PBE-GGA optimized geometry
# **ΔH_f (0 K)**: -0.49 eV/atom
# **Volume**: 18.03 A^3/atom
# **M_tot**: 0.7 μB/f.u.
data_Ce2Cd2Pt15
_chemical_formula_sum 'Ce2 Cd2 Pt15'
_symmetry_space_group_name_H-M 'P 1'
_symmetry_Int_Tables_number 1
_cell_length_a 7.043
_cell_length_b 7.043
_cell_length_c 7.043
_cell_angle_alpha 83.30
_cell_angle_beta 83.30
_cell_angle_gamma 83.30
loop_
_symmetry_equiv_pos_as_xyz
'x,y,z'
loop_
_atom_site_label
_atom_site_type_symbol
_atom_site_fract_x
_atom_site_fract_y
_atom_site_fract_z
Ce1 Ce 0.148 0.148 0.148
Ce2 Ce 0.852 0.852 0.852
Cd1 Cd 0.399 0.399 0.399
Cd2 Cd 0.601 0.601 0.601
Pt1 Pt 0.000 0.500 0.500
Pt2 Pt 0.156 0.156 0.665
Pt3 Pt 0.156 0.665 0.156
Pt4 Pt 0.181 0.500 0.819
Pt5 Pt 0.181 0.819 0.500
Pt6 Pt 0.335 0.844 0.844
Pt7 Pt 0.500 0.000 0.500
Pt8 Pt 0.500 0.181 0.819
Pt9 Pt 0.500 0.500 0.000
Pt10 Pt 0.500 0.819 0.181
Pt11 Pt 0.665 0.156 0.156
Pt12 Pt 0.819 0.181 0.500
Pt13 Pt 0.819 0.500 0.181
Pt14 Pt 0.844 0.335 0.844
Pt15 Pt 0.844 0.844 0.335